Entry 1:
# KTh4Hg5 | Alexandria via LeMat-Bulk | PBE | relaxed
# M_tot = 0.0 Bohr magnetons per cell
# Formation energy from the elements = -0.180 eV per atom
# Energy = -3.41 eV per atom
data_KTh4Hg5
_space_group_name_H-M_alt 'P 4/m m m'
_space_group_IT_number 123
_space_group_name_Hall '-P 4 2'
_cell_length_a 3.7824
_cell_length_b 3.7824
_cell_length_c 20.5901
_cell_angle_alpha 90.00
_cell_angle_beta 90.00
_cell_angle_gamma 90.00
loop_
_atom_site_label
_atom_site_fract_x
_atom_site_fract_y
_atom_site_fract_z
K1 0.0000 0.0000 0.0000
Th1 0.0000 0.0000 0.2121
Th2 0.0000 0.0000 0.4043
Hg1 0.5000 0.5000 0.1217
Hg2 0.5000 0.5000 0.3083
Hg3 0.5000 0.5000 0.5000



Entry 2:
# Nd4DyS5 | Alexandria via LeMat-Bulk | PBE | relaxed
# M_tot = 0.0 Bohr magnetons per cell
# ΔE_f (raw) = -2010 meV per atom
# Energy = -6.44 eV per atom
data_Nd4DyS5
_space_group_name_H-M_alt 'I m m m'
_space_group_IT_number 71
_space_group_name_Hall '-I 2 2'
_cell_length_a 4.0289
_cell_length_b 5.7109
_cell_length_c 20.2375
_cell_angle_alpha 90.00
_cell_angle_beta 90.00
_cell_angle_gamma 90.00
loop_
_atom_site_label
_atom_site_fract_x
_atom_site_fract_y
_atom_site_fract_z
Nd1 0.0000 0.0000 0.1004
Nd2 0.0000 0.0000 0.3018
Dy1 0.0000 0.0000 0.5000
S1 0.0000 0.5000 0.0948
S2 0.0000 0.5000 0.2991
S3 0.0000 0.5000 0.5000



Entry 3:
# Sc11Tl9Zn4 | Alexandria via LeMat-Bulk | PBE | relaxed
# M_tot = 1.5 Bohr magnetons per cell
# Formation energy from the elements = -0.260 eV per atom
# Energy = -4.26 eV per atom
data_Sc11Tl9Zn4
_space_group_name_H-M_alt 'C m m m'
_space_group_IT_number 65
_space_group_name_Hall '-C 2 2'
_cell_length_a 14.0698
_cell_length_b 21.1333
_cell_length_c 3.5519
_cell_angle_alpha 90.00
_cell_angle_beta 90.00
_cell_angle_gamma 90.00
loop_
_atom_site_label
_atom_site_fract_x
_atom_site_fract_y
_atom_site_fract_z
Sc1 0.0000 0.0000 0.0000
Sc2 0.0000 0.1616 0.0000
Sc3 0.0000 0.3678 0.0000
Sc4 0.2000 0.5000 0.0000
Sc5 0.2412 0.1719 0.0000
Tl1 0.0000 0.5000 0.5000
Tl2 0.1117 0.2600 0.5000
Tl3 0.1388 0.0763 0.5000
Zn1 0.1490 0.4010 0.5000